No. 1
# Be2CuSi (PBE, optimized geometry)
data_Be2CuSi
_symmetry_space_group_name_H-M 'I m m 2'
_symmetry_Int_Tables_number 44
_symmetry_space_group_name_Hall 'I 2 -2'
_cell_length_a 2.515
_cell_length_b 3.998
_cell_length_c 8.552
_cell_angle_alpha 90.00
_cell_angle_beta 90.00
_cell_angle_gamma 90.00
loop_
_atom_site_label
_atom_site_fract_x
_atom_site_fract_y
_atom_site_fract_z
Be1 0.000 0.000 0.000
Be2 0.000 0.500 0.276
Cu1 0.000 0.500 0.731
Si1 0.000 0.000 0.499
# Uncorrected formation energy, eV per atom: 0.246



No. 2
# SrZn2Cd (PBE, optimized geometry)
data_SrZn2Cd
_symmetry_space_group_name_H-M 'I -4 m 2'
_symmetry_Int_Tables_number 119
_symmetry_space_group_name_Hall 'I -4 -2'
_cell_length_a 5.065
_cell_length_b 5.065
_cell_length_c 7.286
_cell_angle_alpha 90.00
_cell_angle_beta 90.00
_cell_angle_gamma 90.00
loop_
_atom_site_label
_atom_site_fract_x
_atom_site_fract_y
_atom_site_fract_z
Sr1 0.000 0.000 0.000
Zn1 0.000 0.000 0.500
Zn2 0.000 0.500 0.750
Cd1 0.000 0.500 0.250
# VASP energy, eV/atom: -1.36



No. 3
# Y6Sc2Tl (PBE, optimized geometry)
data_Y6Sc2Tl
_symmetry_space_group_name_H-M 'P 42/m n m'
_symmetry_Int_Tables_number 136
_symmetry_space_group_name_Hall '-P 4n 2n'
_cell_length_a 10.438
_cell_length_b 10.438
_cell_length_c 4.858
_cell_angle_alpha 90.00
_cell_angle_beta 90.00
_cell_angle_gamma 90.00
loop_
_atom_site_label
_atom_site_fract_x
_atom_site_fract_y
_atom_site_fract_z
Y1 0.002 0.330 0.000
Y2 0.156 0.844 0.500
Sc1 0.169 0.169 0.500
Tl1 0.000 0.000 0.000
# VASP energy, eV/atom: -6.01



The following calculated volume values (in Å³ per cell) correspond, in order, to the records above: 86.00; 186.92; 529.26.